# 1
DFT (PBE-GGA) results for an optimized crystal structure of ErThSn2.

Structure (POSCAR):
```
ErThSn2
1.0
-2.4476 3.5469 1.1885
-4.1315 -2.4412 -1.2231
-0.3214 -1.7681 4.6147
Sn Th Er
2 1 1
Direct
0.0000 0.0000 0.5000 Sn
0.0000 0.5000 0.0000 Sn
0.5000 0.5000 0.5000 Th
0.5000 0.0000 0.0000 Er
```

M_tot	0.00	μB/f.u.
ΔH_f (0 K)	-210	kJ/mol of formula units
SG	P4/mmm



# 2
DFT (PBE-GGA) results for an optimized crystal structure of NaYCuSe2.

Structure (POSCAR):
```
NaYCuSe2
1.0
-3.4535 -1.3554 -2.6977
1.8163 -6.7643 1.0734
-5.0633 0.9467 6.0062
Na Se Cu Y
2 4 2 2
Direct
0.8448 0.5000 0.2500 Na
0.1552 0.5000 0.7500 Na
0.6866 0.2662 0.5355 Se
0.3134 0.2662 0.0355 Se
0.3134 0.7338 0.4645 Se
0.6866 0.7338 0.9645 Se
0.0000 0.0000 0.0000 Cu
0.0000 0.0000 0.5000 Cu
0.4922 0.0000 0.2500 Y
0.5078 0.0000 0.7500 Y
```

M_tot	0.00	μB/f.u.
final energy	-4.719	eV per atom
SG	P2/c



# 3
DFT (PBE-GGA) results for an optimized crystal structure of Y5Er2Pu.

Structure (POSCAR):
```
Y5Er2Pu
1.0
-5.0180 4.4412 -0.6418
0.9681 -3.2136 5.4971
15.3809 3.5078 5.2515
Pu Er Y
2 4 10
Direct
0.8028 0.6056 0.7500 Pu
0.1972 0.3944 0.2500 Pu
0.7534 0.4549 0.0228 Er
0.7015 0.4549 0.4772 Er
0.2985 0.5451 0.5228 Er
0.2466 0.5451 0.9772 Er
0.4166 0.9305 0.3469 Y
0.4861 0.0695 0.8469 Y
0.9657 0.9887 0.5974 Y
0.0231 0.9887 0.9026 Y
0.2617 0.5234 0.7500 Y
0.0343 0.0113 0.4026 Y
0.7383 0.4766 0.2500 Y
0.5834 0.0695 0.6531 Y
0.9769 0.0113 0.0974 Y
0.5139 0.9305 0.1531 Y
```

M_tot	6.66	μB/f.u.
ΔH_f (0 K)	76	kJ/mol of formula units
SG	C2/c



# 4
DFT (PBE-GGA) results for an optimized crystal structure of MgB2S.

Structure (POSCAR):
```
MgB2S
1.0
-4.1451 2.7267 7.8606
-4.0998 -0.2175 -2.0865
-0.3600 -4.6023 1.1870
Mg B S
4 8 4
Direct
0.7645 0.5000 0.7710 Mg
0.7645 0.0000 0.2710 Mg
0.2355 0.5000 0.2290 Mg
0.2355 0.0000 0.7290 Mg
0.0000 0.3046 0.0000 B
0.0912 0.0000 0.1870 B
0.0000 0.8046 0.5000 B
0.9088 0.5000 0.3130 B
0.9088 0.0000 0.8130 B
0.0000 0.1954 0.5000 B
0.0912 0.5000 0.6870 B
0.0000 0.6954 0.0000 B
0.3147 0.0000 0.2380 S
0.6853 0.0000 0.7620 S
0.6853 0.5000 0.2620 S
0.3147 0.5000 0.7380 S
```

M_tot	0.00	μB/f.u.
final energy	-5.033	eV per atom
SG	C2/m



# 5
DFT (PBE-GGA) results for an optimized crystal structure of AlCo3Os.

Structure (POSCAR):
```
AlCo3Os
1.0
-3.5327 -0.9585 -1.9300
1.8658 -3.2148 -1.8186
-1.0781 -2.4228 3.1767
Co Al Os
3 1 1
Direct
0.0000 0.5000 0.0000 Co
0.0000 0.0000 0.5000 Co
0.5000 0.0000 0.0000 Co
0.0000 0.0000 0.0000 Al
0.5000 0.5000 0.5000 Os
```

M_tot	5.94	μB/f.u.
ΔH_f (0 K)	625	kJ/mol of formula units
SG	Pm-3m



# 6
DFT (PBE-GGA) results for an optimized crystal structure of LiB3Pt3.

Structure (POSCAR):
```
LiB3Pt3
1.0
-2.9836 -3.9161 3.2725
-2.6059 -2.0903 -4.8772
4.3880 -3.9041 -0.6713
B Pt Li
6 6 2
Direct
0.5000 0.2500 0.0000 B
0.2500 0.0000 0.5000 B
0.0000 0.5000 0.7500 B
0.0000 0.5000 0.2500 B
0.5000 0.7500 0.0000 B
0.7500 0.0000 0.5000 B
0.2500 0.5000 0.0000 Pt
0.5000 0.0000 0.7500 Pt
0.5000 0.0000 0.2500 Pt
0.0000 0.2500 0.5000 Pt
0.7500 0.5000 0.0000 Pt
0.0000 0.7500 0.5000 Pt
0.0000 0.0000 0.0000 Li
0.5000 0.5000 0.5000 Li
```

M_tot	0.00	μB/f.u.
ΔH_f (0 K)	-92	kJ/mol of formula units
SG	Pm-3n



# 7
DFT (PBE-GGA) results for an optimized crystal structure of B2C.

Structure (POSCAR):
```
B2C
1.0
2.2316 -0.7963 3.8396
3.5603 1.2023 2.4970
-2.5962 5.1547 5.1038
B C
8 4
Direct
0.4880 0.4880 0.3294 B
0.9776 0.9776 0.5261 B
0.8891 0.8891 0.2353 B
0.6876 0.6876 0.1739 B
0.2922 0.2922 0.3615 B
0.6550 0.6550 0.6601 B
0.3786 0.3786 0.7690 B
0.0275 0.0275 0.9605 B
0.1106 0.1106 0.1267 C
0.5091 0.5091 0.8720 C
0.8312 0.8312 0.6981 C
0.1535 0.1535 0.5373 C
```

M_tot	0.00	μB/f.u.
ΔH_f (0 K)	111	kJ/mol of formula units
SG	Cm



# 8
DFT (PBE-GGA) results for an optimized crystal structure of ErMg2Hg.

Structure (POSCAR):
```
ErMg2Hg
1.0
5.0377 0.0000 0.0000
2.5189 4.3628 0.0000
2.5189 1.4543 4.1133
Mg Er Hg
2 1 1
Direct
0.7500 0.7500 0.7500 Mg
0.2500 0.2500 0.2500 Mg
0.0000 0.0000 0.0000 Er
0.5000 0.5000 0.5000 Hg
```

M_tot	0.00	μB/f.u.
ΔH_f (0 K)	-42	kJ/mol of formula units
SG	Fm-3m



# 9
DFT (PBE-GGA) results for an optimized crystal structure of Mg2TlPb.

Structure (POSCAR):
```
Mg2TlPb
1.0
-4.8100 -0.4314 0.0218
0.0623 -0.8612 -3.2956
0.5808 -6.4355 0.8061
Tl Mg Pb
1 2 1
Direct
0.5000 0.7500 0.7500 Tl
0.0000 0.9809 0.9941 Mg
0.0000 0.5191 0.5059 Mg
0.5000 0.2500 0.2500 Pb
```

M_tot	0.00	μB/f.u.
ΔH_f (0 K)	2	kJ/mol of formula units
SG	P2/m



# 10
DFT (PBE-GGA) results for an optimized crystal structure of Si3SbH.

Structure (POSCAR):
```
Si3SbH
1.0
-1.5295 -5.0688 0.2697
4.6741 -1.5162 -1.9895
1.9794 -0.3362 4.9065
Si Sb H
3 1 1
Direct
0.0000 0.5000 0.0000 Si
0.5000 0.0000 0.0000 Si
0.0000 0.0000 0.5000 Si
0.0000 0.0000 0.0000 Sb
0.5000 0.5000 0.5000 H
```

M_tot	0.63	μB/f.u.
final energy	-2.933	eV per atom
SG	Pm-3m



# 11
DFT (PBE-GGA) results for an optimized crystal structure of SrZr2HgPt.

Structure (POSCAR):
```
SrZr2HgPt
1.0
5.2005 0.0000 0.0000
0.0000 5.3724 0.0000
0.0000 0.0000 5.2005
Sr Zr Pt Hg
1 2 1 1
Direct
0.5000 0.5000 0.5000 Sr
0.0000 0.0000 0.5000 Zr
0.5000 0.0000 0.0000 Zr
0.0000 0.0000 0.0000 Pt
0.0000 0.5000 0.0000 Hg
```

M_tot	1.63	μB/f.u.
ΔH_f (0 K)	61	kJ/mol of formula units
SG	P4/mmm



# 12
DFT (PBE-GGA) results for an optimized crystal structure of SrMgTl2.

Structure (POSCAR):
```
SrMgTl2
1.0
10.8854 0.1099 0.0649
10.1926 3.8230 0.0649
10.1926 1.9018 3.3170
Sr Tl Mg
1 2 1
Direct
0.7491 0.7491 0.7491 Sr
0.9955 0.9955 0.9955 Tl
0.2484 0.2484 0.2484 Tl
0.5070 0.5070 0.5070 Mg
```

M_tot	0.00	μB/f.u.
ΔH_f (0 K)	2	kJ/mol of formula units
SG	R3m



# 13
DFT (PBE-GGA) results for an optimized crystal structure of AcMg2InAu4.

Structure (POSCAR):
```
AcMg2InAu4
1.0
-4.0907 1.3068 1.8479
-1.8185 -2.3934 3.5806
2.6331 5.3455 7.9622
Mg Au Ac In
2 4 1 1
Direct
0.7647 0.7647 0.7059 Mg
0.2353 0.2353 0.2941 Mg
0.1230 0.1230 0.6311 Au
0.3971 0.3971 0.8087 Au
0.6029 0.6029 0.1913 Au
0.8770 0.8770 0.3689 Au
0.0000 0.0000 0.0000 Ac
0.5000 0.5000 0.5000 In
```

M_tot	0.00	μB/f.u.
ΔH_f (0 K)	-443	kJ/mol of formula units
SG	R-3m



# 14
DFT (PBE-GGA) results for an optimized crystal structure of Dy2Y3Ho8.

Structure (POSCAR):
```
Dy2Y3Ho8
1.0
0.6349 -4.9553 -0.1928
4.7059 0.3569 6.3649
-4.2362 1.5127 11.9437
Ho Y Dy
8 3 2
Direct
0.8454 0.0786 0.6908 Ho
0.9224 0.5404 0.8449 Ho
0.3073 0.8467 0.6147 Ho
0.6927 0.1533 0.3853 Ho
0.0776 0.4596 0.1551 Ho
0.6162 0.6894 0.2324 Ho
0.1546 0.9214 0.3092 Ho
0.3838 0.3106 0.7676 Ho
0.5388 0.2299 0.0776 Y
0.4612 0.7701 0.9224 Y
0.0000 0.0000 0.0000 Y
0.7691 0.6158 0.5383 Dy
0.2309 0.3842 0.4617 Dy
```

M_tot	0.00	μB/f.u.
ΔH_f (0 K)	27	kJ/mol of formula units
SG	C2/m



# 15
DFT (PBE-GGA) results for an optimized crystal structure of SmTiNi.

Structure (POSCAR):
```
SmTiNi
1.0
-1.7606 2.6836 0.4523
-2.0437 -0.9480 -2.3304
-1.2363 -3.5764 4.7933
Ti Ni Sm
1 1 1
Direct
0.7121 0.7121 0.4241 Ti
0.2949 0.2949 0.5899 Ni
0.9930 0.9930 0.9860 Sm
```

M_tot	0.00	μB/f.u.
ΔH_f (0 K)	-29	kJ/mol of formula units
SG	I4mm



# 16
DFT (PBE-GGA) results for an optimized crystal structure of PrMg2AlAg4.

Structure (POSCAR):
```
PrMg2AlAg4
1.0
4.6393 0.0000 0.0000
2.3196 4.0177 0.0000
2.3196 1.3392 8.9432
Pr Al Mg Ag
1 1 2 4
Direct
0.0000 0.0000 0.0000 Pr
0.5000 0.5000 0.5000 Al
0.7588 0.7588 0.7235 Mg
0.2412 0.2412 0.2765 Mg
0.6003 0.6003 0.1990 Ag
0.1323 0.1323 0.6031 Ag
0.8677 0.8677 0.3969 Ag
0.3997 0.3997 0.8010 Ag
```

M_tot	0.00	μB/f.u.
ΔH_f (0 K)	-150	kJ/mol of formula units
SG	R-3m



# 17
DFT (PBE-GGA) results for an optimized crystal structure of Pr6NdHo2Tm3.

Structure (POSCAR):
```
Pr6NdHo2Tm3
1.0
-1.3596 -0.4620 -6.1331
4.3095 -3.8107 2.5657
-9.3298 -6.3801 3.6243
Ho Tm Nd Pr
2 3 1 6
Direct
0.6666 0.3334 0.0000 Ho
0.3334 0.6666 0.0000 Ho
0.5000 0.5000 0.5000 Tm
0.1668 0.8332 0.5000 Tm
0.8332 0.1668 0.5000 Tm
0.0000 0.0000 0.0000 Nd
0.0846 0.4186 0.2527 Pr
0.5814 0.9154 0.7473 Pr
0.4186 0.0846 0.2527 Pr
0.2493 0.2493 0.7474 Pr
0.7507 0.7507 0.2526 Pr
0.9154 0.5814 0.7473 Pr
```

M_tot	0.00	μB/f.u.
ΔH_f (0 K)	18	kJ/mol of formula units
SG	C2/m



# 18
DFT (PBE-GGA) results for an optimized crystal structure of BaTlTe.

Structure (POSCAR):
```
BaTlTe
1.0
5.7233 0.0000 0.0000
2.8616 4.9565 0.0000
2.8616 1.6522 4.6730
Ba Tl Te
1 1 1
Direct
0.7500 0.7500 0.7500 Ba
0.5000 0.5000 0.5000 Tl
0.0000 0.0000 0.0000 Te
```

M_tot	0.01	μB/f.u.
final energy	-3.062	eV per atom
SG	F-43m